## Li3V2O4F2 (PBE with a Hubbard U)

Data for a geometry-optimized Li3V2O4F2 structure.

Calculated values
Density in kg/m3: 3330
Energy relative to the lowest polymorph listed for this composition in meV/atom: 22
VASP energy in eV/cell: -139.75

Cell lengths 5.8467, 5.2497, 7.3094 Å; angles 87.31, 90.00, 90.00 degrees
Last column: nearest neighbours and their distance in Å.
Fractional positions:
Li: 0.7500 0.1519 0.3656  3 F 1.91-1.93
Li: 0.2500 0.8481 0.6344  3 F 1.91-1.93
Li: 0.9942 0.6882 0.3715  3 F 1.93-1.99
Li: 0.0058 0.3118 0.6285  3 F 1.93-1.99
Li: 0.5058 0.6882 0.3715  3 F 1.93-1.99
Li: 0.4942 0.3118 0.6285  3 F 1.93-1.99
V: 0.0000 0.0000 0.0000  6 O 2.02-2.09
V: 0.5000 0.0000 0.0000  6 O 2.02-2.09
V: 0.7500 0.5084 0.9881  6 O 1.93-2.05
V: 0.2500 0.4916 0.0119  6 O 1.93-2.05
O: 0.7500 0.1887 0.8585  3 V 1.97-2.02
O: 0.2500 0.8113 0.1415  3 V 1.97-2.02
O: 0.7500 0.8191 0.1472  3 V 2.02-2.05, 2 Li 2.26
O: 0.2500 0.1809 0.8528  3 V 2.02-2.05, 2 Li 2.26
O: 0.0060 0.6632 0.8581  3 V 1.93-2.09
O: 0.9940 0.3368 0.1419  3 V 1.93-2.09
O: 0.4940 0.6632 0.8581  3 V 1.93-2.09
O: 0.5060 0.3368 0.1419  3 V 1.93-2.09
F: 0.0000 0.0000 0.5000  4 Li 1.91-1.93
F: 0.5000 0.0000 0.5000  4 Li 1.91-1.93
F: 0.7500 0.4718 0.4865  5 Li 1.93-1.99
F: 0.2500 0.5282 0.5135  5 Li 1.93-1.99